Entry from Alexandria via LeMat-Bulk: crystalline LaCoOs at its relaxed geometry (PBE).

Cell lengths 5.3749, 5.3749, 5.3749 Å; angles 123.34, 117.30, 89.53 degrees
Closest atoms and distances in Å follow each position.
Fractional coordinates of all 6 atoms:
La (0.3715, 0.1215, 0.2500)  6 Co 3.05-3.21, 6 Os 3.11-3.23, 4 La 3.22-3.36
La (0.6285, 0.8785, 0.7500)  6 Co 3.05-3.21, 6 Os 3.11-3.23, 4 La 3.22-3.36
Co (0.0000, 0.5000, 0.5000)  4 Os 2.69, 2 Co 2.80
Co (0.5000, 0.5000, 0.0000)  4 Os 2.69, 2 Co 2.80
Os (0.0000, 0.0000, 0.5000)  2 Os 2.55, 4 Co 2.69
Os (0.0000, 0.5000, 0.0000)  2 Os 2.55, 4 Co 2.69

Calculated values
D(E_F) = 1.245 states/eV/atom
Distance to the lowest polymorph of the same formula = 0.00 eV/f.u.
Energy relative to the elements = -77.9 meV/atom